# InCoOs2F PBE+U optimized geometry
data_InCoOs2F
_space_group_name_H-M_alt 'P 1'
_space_group_IT_number 1
_cell_length_a 5.012
_cell_length_b 4.858
_cell_length_c 5.012
_cell_angle_alpha 90.00
_cell_angle_beta 90.00
_cell_angle_gamma 90.00
loop_
_space_group_symop_operation_xyz
'x,y,z'
loop_
_atom_site_label
_atom_site_fract_x
_atom_site_fract_y
_atom_site_fract_z
Os1 0.500 0.000 0.000
Os2 0.000 0.000 0.500
F1 0.500 0.500 0.500
Co1 0.000 0.500 0.000
In1 0.000 0.000 0.000
# E_tot (hartree per atom): -0.147
# D(E_F) (states/eV/f.u.): 6.93